A geometry-optimized SiOs2Au structure. Source: Alexandria via LeMat-Bulk, functional PBE.

Its raw formation energy is 243 meV per atom. The calculation puts the volume at 59.71 Å³/f.u. For the calculated density, the calculation gives 16838 kg/m³.

Lattice parameters (Å, degrees): 3.879 2.923 5.541 71.91 90.00 90.00
Atoms (fractional coordinates):
Au: 0.500 0.750 0.750
Si: 0.500 0.250 0.250
Os: 0.000 0.111 0.028
Os: 0.000 0.389 0.472